Record 1
Here is a geometry-optimized MnP3N structure from Alexandria. Energies are from PBE-GGA.

a = 3.8982 Å, b = 3.8982 Å, c = 3.8982 Å
α = 90.00°, β = 90.00°, γ = 90.00°
With the nearest neighbours (Å) after each atom.
Positions (direct):
P: 0.0000 0.5000 0.0000  2 N 1.95
P: 0.0000 0.0000 0.5000  2 N 1.95
P: 0.5000 0.0000 0.0000  2 N 1.95
Mn: 0.5000 0.5000 0.5000  12 P 2.76
N: 0.0000 0.0000 0.0000  6 P 1.95

Summary:
Its energy above the most stable polymorph in this dataset is 0.00 eV per formula unit. For the uncorrected formation energy, the calculation gives 92.0 kJ/mol of atoms.

=====

Record 2
Here is a geometry-optimized Cd2In6Ga structure from Alexandria. Energies are from PBE-GGA.

a = 6.7500 Å, b = 9.5441 Å, c = 9.5441 Å
α = 50.81°, β = 92.42°, γ = 92.42°
With the nearest neighbours (Å) after each atom.
Positions (direct):
Cd: 0.1215 0.6444 0.8456  1 Cd 2.96, 4 In 3.00-3.16
Cd: 0.3785 0.1544 0.3556  1 Cd 2.96, 4 In 3.00-3.16
Cd: 0.8785 0.3556 0.1544  1 Cd 2.96, 4 In 3.00-3.16
Cd: 0.6215 0.8456 0.6444  1 Cd 2.96, 4 In 3.00-3.16
In: 0.6506 0.5807 0.5763  1 Cd 3.00, 5 In 3.08-3.33, 1 Ga 3.16
In: 0.8494 0.4237 0.4193  1 Cd 3.00, 5 In 3.08-3.33, 1 Ga 3.16
In: 0.3494 0.4193 0.4237  1 Cd 3.00, 5 In 3.08-3.33, 1 Ga 3.16
In: 0.1506 0.5763 0.5807  1 Cd 3.00, 5 In 3.08-3.33, 1 Ga 3.16
In: 0.9530 0.9550 0.3653  3 Cd 3.05-3.35, 1 Ga 3.05, 5 In 3.14-3.41
In: 0.5470 0.6347 0.0450  3 Cd 3.05-3.35, 1 Ga 3.05, 5 In 3.14-3.41
In: 0.0470 0.0450 0.6347  3 Cd 3.05-3.35, 1 Ga 3.05, 5 In 3.14-3.41
In: 0.4530 0.3653 0.9550  3 Cd 3.05-3.35, 1 Ga 3.05, 5 In 3.14-3.41
In: 0.1157 0.7658 0.0760  2 Ga 2.88-3.05, 1 Cd 3.07, 1 In 3.20
In: 0.3843 0.9240 0.2342  2 Ga 2.88-3.05, 1 Cd 3.07, 1 In 3.20
In: 0.8843 0.2342 0.9240  2 Ga 2.88-3.05, 1 Cd 3.07, 1 In 3.20
In: 0.6157 0.0760 0.7658  2 Ga 2.88-3.05, 1 Cd 3.07, 1 In 3.20
Ga: 0.2500 0.1614 0.8386  8 In 2.88-3.16
Ga: 0.7500 0.8386 0.1614  8 In 2.88-3.16

Summary:
Its energy above the most stable polymorph in this dataset is 0.09 eV per formula unit. Its formation energy is 0.060 eV/atom.

=====

Record 3
Here is a geometry-optimized ZrCrCu structure from Alexandria. Energies are from PBE-GGA.

a = 5.3300 Å, b = 5.3301 Å, c = 3.1874 Å
α = 72.60°, β = 72.60°, γ = 34.80°
With the nearest neighbours (Å) after each atom.
Positions (direct):
Cr: 0.9870 0.9870 0.0130  4 Cu 2.61, 4 Zr 2.82
Cu: 0.3502 0.3502 0.6498  4 Cr 2.61, 4 Zr 2.89
Zr: 0.6629 0.6629 0.3371  5 Cr 2.82-3.13, 5 Cu 2.89-3.02

Summary:
Its energy above the most stable polymorph in this dataset is 0.44 eV per formula unit. Its formation energy is 0.186 eV/atom.

=====

Record 4
Here is a geometry-optimized KAg12Sb6 structure from Alexandria. Energies are from PBE-GGA.

a = 7.9097 Å, b = 7.9097 Å, c = 7.9097 Å
α = 94.32°, β = 94.32°, γ = 94.32°
With the nearest neighbours (Å) after each atom.
Positions (direct):
K: 0.0000 0.0000 0.0000  6 Sb 3.55
Ag: 0.8741 0.1259 0.5000  4 Sb 2.84-2.87, 3 Ag 2.92-3.18
Ag: 0.7794 0.5093 0.5093  2 Sb 2.79, 2 Ag 3.09
Ag: 0.5093 0.5093 0.7794  2 Sb 2.79, 2 Ag 3.09
Ag: 0.4907 0.2206 0.4907  2 Sb 2.79, 2 Ag 3.09
Ag: 0.4907 0.4907 0.2206  2 Sb 2.79, 2 Ag 3.09
Ag: 0.2206 0.4907 0.4907  2 Sb 2.79, 2 Ag 3.09
Ag: 0.1259 0.5000 0.8741  4 Sb 2.84-2.87, 3 Ag 2.92-3.18
Ag: 0.5000 0.8741 0.1259  4 Sb 2.84-2.87, 3 Ag 2.92-3.18
Ag: 0.1259 0.8741 0.5000  4 Sb 2.84-2.87, 3 Ag 2.92-3.18
Ag: 0.8741 0.5000 0.1259  4 Sb 2.84-2.87, 3 Ag 2.92-3.18
Ag: 0.5000 0.1259 0.8741  4 Sb 2.84-2.87, 3 Ag 2.92-3.18
Ag: 0.5093 0.7794 0.5093  2 Sb 2.79, 2 Ag 3.09
Sb: 0.6774 0.2046 0.2046  6 Ag 2.79-2.87
Sb: 0.2046 0.2046 0.6774  6 Ag 2.79-2.87
Sb: 0.2046 0.6774 0.2046  6 Ag 2.79-2.87
Sb: 0.7954 0.7954 0.3226  6 Ag 2.79-2.87
Sb: 0.3226 0.7954 0.7954  6 Ag 2.79-2.87
Sb: 0.7954 0.3226 0.7954  6 Ag 2.79-2.87

Summary:
For the uncorrected formation energy, the calculation gives 7.0 kJ/mol of atoms.

=====

Record 5
Here is a geometry-optimized SrCaNF2 structure from Alexandria. Energies are from PBE-GGA.

a = 4.5325 Å, b = 4.5325 Å, c = 4.6768 Å
α = 90.00°, β = 90.00°, γ = 90.00°
With the nearest neighbours (Å) after each atom.
Positions (direct):
Sr: 0.0000 0.0000 0.0000  4 F 2.27, 2 N 2.34
Ca: 0.5000 0.5000 0.5000  4 N 3.20, 8 F 3.26
N: 0.0000 0.0000 0.5000  2 Sr 2.34
F: 0.0000 0.5000 0.0000  2 Sr 2.27
F: 0.5000 0.0000 0.0000  2 Sr 2.27

Summary:
Its energy above the most stable polymorph in this dataset is 1.88 eV per formula unit. For the uncorrected formation energy, the calculation gives -170.4 kJ/mol of atoms.

=====

Record 6
Here is a geometry-optimized ZnCuNi2N structure from Alexandria. Energies are from PBE-GGA.

a = 3.7859 Å, b = 3.7859 Å, c = 3.8292 Å
α = 90.00°, β = 90.00°, γ = 90.00°
With the nearest neighbours (Å) after each atom.
Positions (direct):
Ni: 0.0000 0.5000 0.0000  2 N 1.89
Ni: 0.5000 0.0000 0.0000  2 N 1.89
Zn: 0.5000 0.5000 0.5000  4 Cu 2.68, 8 Ni 2.69
Cu: 0.0000 0.0000 0.5000  2 N 1.91
N: 0.0000 0.0000 0.0000  4 Ni 1.89, 2 Cu 1.91

Summary:
Its energy above the most stable polymorph in this dataset is 0.00 eV per formula unit. For the uncorrected formation energy, the calculation gives -1.0 kJ/mol of atoms.

=====

Record 7
Here is a geometry-optimized Pr5TlSi2 structure from Alexandria. Energies are from PBE-GGA.

a = 7.9648 Å, b = 7.9648 Å, c = 9.3079 Å
α = 115.33°, β = 115.33°, γ = 90.00°
With the nearest neighbours (Å) after each atom.
Positions (direct):
Pr: 0.5380 0.6854 0.7234  3 Si 3.11-3.14, 2 Tl 3.37
Pr: 0.8146 0.9620 0.2766  3 Si 3.11-3.14, 2 Tl 3.37
Pr: 0.0000 0.0000 0.0000  4 Si 3.20
Pr: 0.5000 0.5000 0.0000  4 Si 3.20
Pr: 0.1854 0.0380 0.7234  3 Si 3.11-3.14, 2 Tl 3.37
Pr: 0.6854 0.1854 0.7234  3 Si 3.11-3.14, 2 Tl 3.37
Pr: 0.0380 0.5380 0.7234  3 Si 3.11-3.14, 2 Tl 3.37
Pr: 0.3146 0.8146 0.2766  3 Si 3.11-3.14, 2 Tl 3.37
Pr: 0.9620 0.4620 0.2766  3 Si 3.11-3.14, 2 Tl 3.37
Pr: 0.4620 0.3146 0.2766  3 Si 3.11-3.14, 2 Tl 3.37
Tl: 0.7500 0.7500 0.5000  10 Pr 3.37-3.71
Tl: 0.2500 0.2500 0.5000  10 Pr 3.37-3.71
Si: 0.1157 0.3843 0.0000  1 Si 2.61
Si: 0.6157 0.1157 0.0000  1 Si 2.61
Si: 0.3843 0.8843 0.0000  1 Si 2.61
Si: 0.8843 0.6157 0.0000  1 Si 2.61

Summary:
For the uncorrected formation energy, the calculation gives -49.1 kJ/mol of atoms.

=====

Record 8
Here is a geometry-optimized TmPuPa2 structure from Alexandria. Energies are from PBE-GGA.

a = 3.2850 Å, b = 3.2850 Å, c = 9.4526 Å
α = 90.00°, β = 90.00°, γ = 90.00°
With the nearest neighbours (Å) after each atom.
Positions (direct):
Pa: 0.0000 0.0000 0.7669  4 Pu 3.20, 4 Pa 3.28, 4 Tm 3.43
Pa: 0.0000 0.0000 0.2331  4 Pu 3.20, 4 Pa 3.28, 4 Tm 3.43
Tm: 0.5000 0.5000 0.5000  4 Tm 3.28, 8 Pa 3.43
Pu: 0.5000 0.5000 0.0000  8 Pa 3.20, 4 Pu 3.28

Summary:
Its energy above the most stable polymorph in this dataset is 0.00 eV per formula unit. Its formation energy is 0.170 eV/atom.

=====

Record 9
Here is a geometry-optimized HoLuMg2 structure from Alexandria. Energies are from PBE-GGA.

a = 3.7543 Å, b = 5.3094 Å, c = 5.3094 Å
α = 90.00°, β = 90.00°, γ = 90.00°
With the nearest neighbours (Å) after each atom.
Positions (direct):
Mg: 0.0000 0.0000 0.5000  4 Ho 3.25, 4 Lu 3.25
Mg: 0.0000 0.5000 0.0000  4 Ho 3.25, 4 Lu 3.25
Lu: 0.5000 0.0000 0.0000  8 Mg 3.25
Ho: 0.5000 0.5000 0.5000  8 Mg 3.25

Summary:
Its energy above the most stable polymorph in this dataset is 0.02 eV per formula unit. Its formation energy is -0.061 eV/atom.

=====

Record 10
Here is a geometry-optimized RbS structure from Alexandria. Energies are from PBE-GGA.

a = 9.9342 Å, b = 9.9342 Å, c = 9.9342 Å
α = 90.00°, β = 90.00°, γ = 90.00°
With the nearest neighbours (Å) after each atom.
Positions (direct):
Rb: 0.3118 0.3118 0.3118  4 S 3.22-3.25
Rb: 0.3118 0.6882 0.6882  4 S 3.22-3.25
Rb: 0.6882 0.3118 0.6882  4 S 3.22-3.25
Rb: 0.6882 0.6882 0.3118  4 S 3.22-3.25
Rb: 0.8118 0.8118 0.8118  4 S 3.22-3.25
Rb: 0.8118 0.1882 0.1882  4 S 3.22-3.25
Rb: 0.1882 0.8118 0.1882  4 S 3.22-3.25
Rb: 0.1882 0.1882 0.8118  4 S 3.22-3.25
S: 0.1228 0.1228 0.1228  4 Rb 3.22-3.25, 3 S 3.45
S: 0.1228 0.8772 0.8772  4 Rb 3.22-3.25, 3 S 3.45
S: 0.8772 0.1228 0.8772  4 Rb 3.22-3.25, 3 S 3.45
S: 0.8772 0.8772 0.1228  4 Rb 3.22-3.25, 3 S 3.45
S: 0.6228 0.6228 0.6228  4 Rb 3.22-3.25, 3 S 3.45
S: 0.6228 0.3772 0.3772  4 Rb 3.22-3.25, 3 S 3.45
S: 0.3772 0.6228 0.3772  4 Rb 3.22-3.25, 3 S 3.45
S: 0.3772 0.3772 0.6228  4 Rb 3.22-3.25, 3 S 3.45

Summary:
For the uncorrected formation energy, the calculation gives -24.2 kJ/mol of atoms.

=====

Record 11
Here is a geometry-optimized KPrAgSe2 structure from Alexandria. Energies are from PBE-GGA.

a = 5.0787 Å, b = 7.7230 Å, c = 8.4235 Å
α = 98.99°, β = 90.00°, γ = 90.00°
With the nearest neighbours (Å) after each atom.
Positions (direct):
K: 0.1287 0.5000 0.7500  6 Se 3.47-3.55
K: 0.8713 0.5000 0.2500  6 Se 3.47-3.55
Pr: 0.4921 0.0000 0.2500  4 Se 2.94-2.95, 2 Ag 3.27
Pr: 0.5079 0.0000 0.7500  4 Se 2.94-2.95, 2 Ag 3.27
Ag: 0.0000 0.0000 0.0000  2 Se 2.66
Ag: 0.0000 0.0000 0.5000  2 Se 2.66
Se: 0.6402 0.7468 0.9657  1 Ag 2.66, 2 Pr 2.94-2.95
Se: 0.6402 0.2532 0.5343  1 Ag 2.66, 2 Pr 2.94-2.95
Se: 0.3598 0.7468 0.4657  1 Ag 2.66, 2 Pr 2.94-2.95
Se: 0.3598 0.2532 0.0343  1 Ag 2.66, 2 Pr 2.94-2.95

Summary:
For the uncorrected formation energy, the calculation gives -99.3 kJ/mol of atoms.

=====

Record 12
Here is a geometry-optimized HfNbVMo structure from Alexandria. Energies are from PBE-GGA.

a = 4.6223 Å, b = 4.6223 Å, c = 4.6223 Å
α = 60.00°, β = 60.00°, γ = 60.00°
With the nearest neighbours (Å) after each atom.
Positions (direct):
Mo: 0.7500 0.7500 0.7500  4 Hf 2.83, 4 Nb 2.83
Hf: 0.5000 0.5000 0.5000  4 Mo 2.83, 4 V 2.83
Nb: 0.0000 0.0000 0.0000  4 Mo 2.83, 4 V 2.83
V: 0.2500 0.2500 0.2500  4 Hf 2.83, 4 Nb 2.83

Summary:
Its formation energy is 0.019 eV/atom.